{"formula": "Ti8HC4N3", "functional": "PBE", "state": "optimized geometry", "lattice_angstrom": [[3.041, 1.756, 4.952], [-3.041, 1.756, 4.952], [0.000, -3.512, 4.952]], "species": ["Ti", "Ti", "Ti", "Ti", "Ti", "Ti", "Ti", "Ti", "H", "C", "C", "C", "C", "N", "N", "N"], "fractional_positions": [[0.248, 0.248, 0.248], [0.258, 0.258, 0.741], [0.258, 0.741, 0.258], [0.259, 0.742, 0.742], [0.741, 0.258, 0.258], [0.742, 0.259, 0.742], [0.742, 0.742, 0.259], [0.752, 0.752, 0.752], [0.000, 0.000, 0.000], [0.000, 0.000, 0.500], [0.000, 0.500, 0.000], [0.500, 0.000, 0.000], [0.500, 0.500, 0.500], [0.000, 0.500, 0.500], [0.500, 0.000, 0.500], [0.500, 0.500, 0.000]], "energy_ev_per_cell": -147.109, "rho_g_cm3": 5.0}


{"formula": "Tm4HC2N", "functional": "PBE", "state": "optimized geometry", "lattice_angstrom": [[5.990, 0.000, 0.000], [0.000, 3.500, 0.000], [-2.012, 0.000, 5.745]], "species": ["Tm", "Tm", "Tm", "Tm", "H", "C", "C", "N"], "fractional_positions": [[0.232, 0.000, 0.230], [0.243, 0.500, 0.759], [0.757, 0.500, 0.241], [0.768, 0.000, 0.770], [0.500, 0.500, 0.500], [0.000, 0.000, 0.500], [0.000, 0.500, 0.000], [0.500, 0.000, 0.000]], "energy_ev_per_cell": -54.175, "rho_g_cm3": 9.9}


{"formula": "V6H3CN2", "functional": "PBE", "state": "optimized geometry", "lattice_angstrom": [[6.249, -1.432, 0.000], [6.249, 1.432, 0.000], [-1.285, 0.000, 5.570]], "species": ["V", "V", "V", "V", "V", "V", "H", "H", "H", "C", "N", "N"], "fractional_positions": [[0.003, 0.003, 0.249], [0.332, 0.332, 0.417], [0.334, 0.334, 0.912], [0.666, 0.666, 0.088], [0.668, 0.668, 0.583], [0.997, 0.997, 0.751], [0.166, 0.166, 0.833], [0.500, 0.500, 0.500], [0.834, 0.834, 0.167], [0.500, 0.500, 0.000], [0.167, 0.167, 0.335], [0.833, 0.833, 0.665]], "energy_ev_per_cell": -98.717, "rho_g_cm3": 5.8}


{"formula": "Y6H2C2N", "functional": "PBE", "state": "optimized geometry", "lattice_angstrom": [[3.093, -5.360, 0.000], [3.093, 5.360, 0.000], [-2.096, 0.000, 5.843]], "species": ["Y", "Y", "Y", "Y", "Y", "Y", "H", "H", "C", "C", "N"], "fractional_positions": [[0.077, 0.407, 0.228], [0.254, 0.254, 0.773], [0.407, 0.077, 0.228], [0.593, 0.923, 0.772], [0.746, 0.746, 0.227], [0.923, 0.593, 0.772], [0.169, 0.831, 0.500], [0.831, 0.169, 0.500], [0.333, 0.667, 0.000], [0.667, 0.333, 0.000], [0.000, 0.000, 0.000]], "energy_ev_per_cell": -79.238, "rho_g_cm3": 4.9}